! Sm2DyTm2Sc2 | Alexandria via LeMat-Bulk | GGA-PBE | relaxed; values from VASP
&SYSTEM
  ibrav = 0, nat = 7, ntyp = 4
/
ATOMIC_SPECIES
Sm 150.36 Sm.upf
Dy 162.50 Dy.upf
Tm 168.93 Tm.upf
Sc 44.96 Sc.upf
ATOMIC_POSITIONS angstrom
Sm 1.624 0.000 0.971
Sm 6.019 0.000 9.929
Dy 3.821 0.000 5.450
Tm -2.301 0.000 8.367
Tm 9.943 0.000 2.533
Sc 0.754 0.000 6.885
Sc 6.888 0.000 4.015
CELL_PARAMETERS angstrom
5.659 -1.706 0.000
5.659 1.706 0.000
-3.677 0.000 10.900
! density of states at the Fermi level = 12.415 states/eV per cell
! formation energy from the elements = 0.1084 eV/atom